VASP calculation (PBE) on a relaxed KAuS2O8 crystal.

abc: 4.9776 4.9776 8.9982
angles: 73.94 73.94 60.00
Site moments in Bohr magnetons follow the coordinates.
Fractional positions:
S 0.7569 0.7569 0.7294  -0.01
O 0.7529 0.5027 0.6724  0.15
Au 0.5000 0.5000 0.5000  0.80
K 0.0000 0.0000 0.0000  0.00
O 0.4973 0.2471 0.3276  0.15
O 0.9281 0.4973 0.3276  0.15
O 0.5027 0.0719 0.6724  0.15
S 0.2431 0.2431 0.2706  -0.01
O 0.3006 0.3006 0.0982  0.10
O 0.2471 0.9281 0.3276  0.15
O 0.6994 0.6994 0.9018  0.10
O 0.0719 0.7529 0.6724  0.15

Computed properties:
raw total energy: -5.44 eV/atom
energy relative to the elements, uncorrected: -1.081 eV per atom
symmetry: R32



VASP calculation (PBE) on a relaxed Ag2C crystal.

abc: 5.5295 5.5295 5.5295
angles: 32.68 32.68 32.68
Fractional positions:
C 0.0013 0.0013 0.0013
Ag 0.5735 0.5735 0.5735
Ag 0.7585 0.7585 0.7585

Computed properties:
E_form: 141 kJ/mol of atoms
raw total energy: -3.51 eV/atom
symmetry: R3m